1.
The following is a DFT calculation (PBE) of AcTcB after structural relaxation.

Values from the calculation:
**Final energy**: -75.06 eV per cell
**Density**: 9154 kg/m3

Cell lengths 6.246, 6.246, 6.246 Å; angles 90.00, 90.00, 90.00 degrees
Space group F-43m (No. 216)
Inequivalent atoms, fractional coordinates:
Ac1 0.000 0.000 0.000
Tc1 0.000 0.000 0.500
B1 0.250 0.250 0.250


2.
The following is a DFT calculation (PBE) of HoZrAl2Ag4 after structural relaxation.

Values from the calculation:
**Final energy**: -33.94 eV per cell
**Density**: 7846 kg/m3

Cell lengths 4.5499, 4.5499, 8.7543 Å; angles 90.00, 90.00, 120.00 degrees
Space group P-6m2 (No. 187)
Inequivalent atoms, fractional coordinates:
Ho1 0.0000 0.0000 0.0000
Zr1 0.3333 0.6667 0.5000
Al1 0.6667 0.3333 0.3136
Ag1 0.0000 0.0000 0.3360
Ag2 0.3333 0.6667 0.1672